No. 1
{
  "formula": "LaBeIr2",
  "functional": "PBE-GGA",
  "state": "relaxed",
  "lattice": [[-2.1686, -3.9697, 1.0585], [-0.9860, -3.0711, -3.3434], [2.3017, -4.0302, -0.2044]],
  "species": ["Be", "Ir", "Ir", "La"],
  "frac_coords": [[0.5000, 0.5000, 0.5000], [0.0000, 0.0000, 0.0000], [0.2500, 0.2500, 0.2500], [0.7500, 0.7500, 0.7500]],
  "dft_energy_ev_per_atom": -6.3857
}

=====

No. 2
{
  "formula": "MgIr2OsPt",
  "functional": "PBE-GGA",
  "state": "relaxed",
  "lattice": [[4.7753, 0.0000, 0.0000], [0.0000, 4.5400, 0.0000], [0.0000, 0.0000, 4.7753]],
  "species": ["Mg", "Ir", "Ir", "Os", "Pt"],
  "frac_coords": [[0.0000, 0.5000, 0.0000], [0.0000, 0.0000, 0.5000], [0.5000, 0.0000, 0.0000], [0.5000, 0.5000, 0.5000], [0.0000, 0.0000, 0.0000]],
  "dft_energy_ev_per_atom": -5.4545
}

=====

No. 3
{
  "formula": "SiP2Rh",
  "functional": "PBE-GGA",
  "state": "relaxed",
  "lattice": [[6.7866, 0.0259, 0.0156], [5.9806, 3.2080, 0.0156], [5.9806, 1.5149, 2.8278]],
  "species": ["P", "P", "Rh", "Si"],
  "frac_coords": [[0.0082, 0.0082, 0.0082], [0.2426, 0.2426, 0.2426], [0.5077, 0.5077, 0.5077], [0.7415, 0.7415, 0.7415]],
  "dft_energy_ev_per_atom": -6.0417
}

=====

No. 4
{
  "formula": "LaHoThMg",
  "functional": "PBE-GGA",
  "state": "relaxed",
  "lattice": [[3.6205, 0.0000, 0.0000], [0.0000, 3.6205, 0.0000], [0.0000, 0.0000, 9.4012]],
  "species": ["La", "Ho", "Th", "Mg"],
  "frac_coords": [[0.0000, 0.0000, 0.0761], [0.0000, 0.0000, 0.5619], [0.5000, 0.5000, 0.8129], [0.5000, 0.5000, 0.3339]],
  "e_above_lowest_polymorph_kj_per_mol_fu": 0
}

=====

No. 5
{
  "formula": "NaPNO2",
  "functional": "PBE-GGA",
  "state": "relaxed",
  "lattice": [[-0.9790, 0.1322, 3.9556], [2.8651, -2.7876, 0.8022], [2.8241, 3.0742, 0.5961]],
  "species": ["P", "N", "O", "O", "Na"],
  "frac_coords": [[0.5000, 0.5000, 0.5000], [0.0000, 0.0000, 0.5000], [0.0000, 0.5000, 0.0000], [0.5000, 0.0000, 0.0000], [0.0000, 0.0000, 0.0000]],
  "dft_energy_ev_per_atom": -3.3780
}

=====

No. 6
{
  "formula": "SiHg2Pb",
  "functional": "PBE-GGA",
  "state": "relaxed",
  "lattice": [[-2.4177, -5.9170, 5.9807], [1.1775, -6.6068, 5.6204], [0.0369, -3.9011, 7.8362]],
  "species": ["Hg", "Hg", "Pb", "Si"],
  "frac_coords": [[0.0122, 0.0122, 0.0122], [0.4878, 0.4878, 0.4878], [0.2500, 0.2500, 0.2500], [0.7500, 0.7500, 0.7500]],
  "e_above_lowest_polymorph_kj_per_mol_fu": 20
}

=====

No. 7
{
  "formula": "TlCo2As",
  "functional": "PBE-GGA",
  "state": "relaxed",
  "lattice": [[-2.6482, -1.5629, 1.7867], [0.8583, -2.6468, -1.0432], [3.8675, -0.9936, 4.8632]],
  "species": ["As", "Co", "Co", "Tl"],
  "frac_coords": [[0.5000, 0.7500, 0.7500], [0.0000, 0.0177, 0.9270], [0.0000, 0.4823, 0.5730], [0.5000, 0.2500, 0.2500]],
  "e_above_lowest_polymorph_kj_per_mol_fu": 76
}

=====

No. 8
{
  "formula": "ZnCr2SbPd",
  "functional": "PBE-GGA",
  "state": "relaxed",
  "lattice": [[5.0519, 0.0000, 0.0000], [0.0000, 4.8716, 0.0000], [0.0000, 0.0000, 5.0519]],
  "species": ["Sb", "Zn", "Pd", "Cr", "Cr"],
  "frac_coords": [[0.0000, 0.5000, 0.0000], [0.5000, 0.5000, 0.5000], [0.0000, 0.0000, 0.0000], [0.0000, 0.0000, 0.5000], [0.5000, 0.0000, 0.0000]],
  "dft_energy_ev_per_atom": -5.1103
}